Entry 1:
Here is MnOsI2O after structural relaxation from Alexandria. Energies are from GGA+U.

Structure (POSCAR):
```
MnOsI2O
1.0
5.4967 0.0000 0.0000
0.0000 5.4967 0.0000
0.0000 0.0000 3.5721
Mn Os I O
1 1 2 1
direct
0.0000 0.0000 0.0000
0.5000 0.5000 0.5000
0.0000 0.5000 0.0000
0.5000 0.0000 0.0000
0.0000 0.0000 0.5000
```

Computed properties:
The density of states at the Fermi level is 1.1856 states/eV per atom. Its calculated total energy is -23.168 eV per cell.

Entry 2:
Here is MnOsIO2 after structural relaxation from Alexandria. Energies are from GGA+U.

Structure (POSCAR):
```
MnOsIO2
1.0
3.8167 0.0000 0.0000
0.0000 3.8167 0.0000
0.0000 0.0000 7.9220
Mn Os I O
1 1 1 2
direct
0.0000 0.0000 0.0000
0.5000 0.5000 0.5000
0.5000 0.5000 0.0000
0.0000 0.5000 0.5000
0.5000 0.0000 0.5000
```

Computed properties:
The density of states at the Fermi level is 0.5206 states/eV per atom. Its calculated total energy is -31.215 eV per cell.

Entry 3:
Here is MnOsIO2 after structural relaxation from Alexandria. Energies are from GGA+U.

Structure (POSCAR):
```
MnOsIO2
1.0
3.7680 0.0000 0.0000
0.0000 3.7680 0.0000
0.0000 0.0000 6.9427
Mn Os I O
1 1 1 2
direct
0.0000 0.0000 0.0000
0.5000 0.5000 0.5000
0.0000 0.0000 0.5000
0.0000 0.5000 0.0000
0.5000 0.0000 0.0000
```

Computed properties:
The density of states at the Fermi level is 0.8440 states/eV per atom. Its calculated total energy is -27.881 eV per cell.

Entry 4:
Here is MnP2IO after structural relaxation from Alexandria. Energies are from GGA+U.

Structure (POSCAR):
```
MnP2IO
1.0
4.8137 0.0000 0.0000
0.0000 4.8137 0.0000
0.0000 0.0000 3.5251
Mn P I O
1 2 1 1
direct
0.0000 0.0000 0.0000
0.0000 0.5000 0.0000
0.5000 0.0000 0.0000
0.5000 0.5000 0.5000
0.0000 0.0000 0.5000
```

Computed properties:
The density of states at the Fermi level is 0.6947 states/eV per atom. Its calculated total energy is -21.565 eV per cell.

Entry 5:
Here is MnP2IO after structural relaxation from Alexandria. Energies are from GGA+U.

Structure (POSCAR):
```
MnP2IO
1.0
5.1656 0.0000 0.0000
0.0000 5.1656 0.0000
0.0000 0.0000 3.9334
Mn P I O
1 2 1 1
direct
0.0000 0.0000 0.0000
0.0000 0.5000 0.5000
0.5000 0.0000 0.5000
0.5000 0.5000 0.5000
0.5000 0.5000 0.0000
```

Computed properties:
The density of states at the Fermi level is 0.3953 states/eV per atom. Its calculated total energy is -20.558 eV per cell.

Entry 6:
Here is MnPI2O after structural relaxation from Alexandria. Energies are from GGA+U.

Structure (POSCAR):
```
MnPI2O
1.0
5.6674 0.0000 0.0000
0.0000 5.6674 0.0000
0.0000 0.0000 3.6935
Mn P I O
1 1 2 1
direct
0.0000 0.0000 0.0000
0.5000 0.5000 0.5000
0.0000 0.5000 0.0000
0.5000 0.0000 0.0000
0.0000 0.0000 0.5000
```

Computed properties:
The density of states at the Fermi level is 0.8758 states/eV per atom. Its calculated total energy is -20.272 eV per cell.

density of states at the Fermi level of number 2 (MnOsIO2)?
0.5206 states/eV per atom